The following is a DFT calculation (GGA-PBE) of a relaxed structure of Li2CaIr3.

Calculated values
The total energy is -5.59 eV/atom. The value obtained for the energy of formation is -0.192 eV/atom.

The structure in CIF format:
```
data_Li2CaIr3
_cell_length_a 8.520
_cell_length_b 9.149
_cell_length_c 5.121
_cell_angle_alpha 90.00
_cell_angle_beta 90.00
_cell_angle_gamma 90.00
_space_group_name_H-M_alt 'I m m a'
_space_group_IT_number 74
_space_group_name_Hall '-I 2b 2'
loop_
_atom_site_label
_atom_site_fract_x
_atom_site_fract_y
_atom_site_fract_z
_atom_site_occupancy
Li1 0.000 0.083 0.249 1
Ca1 0.000 0.250 0.749 1
Ir1 0.250 0.000 0.000 1
Ir2 0.250 0.250 0.250 1
```

=====

The following is a DFT calculation (GGA-PBE) of a relaxed structure of Pu3HSe3.

Calculated values
The total energy is -9.25 eV/atom.

The structure in CIF format:
```
data_Pu3HSe3
_cell_length_a 7.740
_cell_length_b 5.795
_cell_length_c 7.904
_cell_angle_alpha 90.00
_cell_angle_beta 97.06
_cell_angle_gamma 90.00
_space_group_name_H-M_alt 'P 1 21/m 1'
_space_group_IT_number 11
_space_group_name_Hall '-P 2yb'
loop_
_atom_site_label
_atom_site_fract_x
_atom_site_fract_y
_atom_site_fract_z
_atom_site_occupancy
Pu1 0.089 0.250 0.347 1
Pu2 0.346 0.750 0.090 1
Pu3 0.374 0.750 0.618 1
H1 0.185 0.750 0.821 1
Se1 0.091 0.750 0.339 1
Se2 0.343 0.250 0.095 1
Se3 0.374 0.250 0.621 1
```